[1]
Sm2Te3F | PBE | optimized geometry

Cell lengths 11.8619, 4.2232, 13.2048 Å; angles 90.00, 90.00, 90.00 degrees
With the nearest neighbours (Å) after each atom.
Space group Pnma (No. 62)
Asymmetric unit:
Sm 0.0585 0.2500 0.1740 [4 per cell]  2 F 2.38
Sm 0.1958 0.2500 0.5208 [4 per cell]  1 F 2.46
Te 0.0687 0.7500 0.3782 [4 per cell]  5 Sm 3.21-3.43, 1 F 3.38
Te 0.1213 0.2500 0.9339 [4 per cell]  3 F 3.16-3.34, 5 Sm 3.24-3.32
Te 0.1688 0.7500 0.6952 [4 per cell]  4 Sm 3.14-3.25, 2 F 3.26
F 0.1356 0.7500 0.1293 [4 per cell]  3 Sm 2.38-2.46

- Formation energy (no corrections): -1809 meV/atom
- Fermi-level density of states: 10.7 states/eV/cell
- E above lowest polymorph: 0.0000 eV per atom
- VASP energy: -31.59 eV/f.u.
- Total moment: 0.0 Bohr magnetons per cell



[2]
Sm2TeF | PBE | optimized geometry

Cell lengths 3.9882, 3.9882, 21.1124 Å; angles 90.00, 90.00, 120.00 degrees
With the nearest neighbours (Å) after each atom.
Space group R-3m (No. 166, hexagonal axes)
Asymmetric unit:
Sm 0.0000 0.0000 0.2317 [6 per cell]  3 F 2.68
Te 0.0000 0.0000 0.0000 [3 per cell]  6 Sm 3.15
F 0.0000 0.0000 0.5000 [3 per cell]  6 Sm 2.68

- Formation energy (no corrections): -1711 meV/atom
- Fermi-level density of states: 6.3 states/eV/cell
- VASP energy: -21.30 eV/f.u.
- Total moment: 0.0 Bohr magnetons per cell



[3]
Sm2Te3F | PBE | optimized geometry

Cell lengths 16.4332, 4.6045, 11.4109 Å; angles 90.00, 115.95, 90.00 degrees
With the nearest neighbours (Å) after each atom.
Space group C2/m (No. 12)
Asymmetric unit:
Sm 0.0987 0.0000 0.4464 [4 per cell]  2 F 2.35-2.38
Sm 0.1471 0.5000 0.8222 [4 per cell]  5 Te 3.04-3.15, 2 F 3.11
Te 0.0565 0.5000 0.2412 [4 per cell]  3 Sm 3.10-3.14
Te 0.1432 0.0000 0.9938 [4 per cell]  3 Sm 3.04-3.15
Te 0.2277 0.5000 0.6222 [4 per cell]  4 Sm 3.10-3.27
F 0.0587 0.0000 0.6234 [4 per cell]  2 Sm 2.35-2.38, 1 F 2.63

- Formation energy (no corrections): -1690 meV/atom
- Fermi-level density of states: 15.3 states/eV/cell
- E above lowest polymorph: 0.1191 eV per atom
- VASP energy: -30.87 eV/f.u.
- Total moment: 0.0 Bohr magnetons per cell



[4]
SmTeF2 | PBE | optimized geometry

Cell lengths 3.9978, 12.0672, 6.8347 Å; angles 90.00, 90.00, 90.00 degrees
With the nearest neighbours (Å) after each atom.
Space group Cmcm (No. 63)
Asymmetric unit:
Sm 0.0000 0.2426 0.2500 [4 per cell]  6 F 2.30-2.40
Te 0.0000 0.0232 0.7500 [4 per cell]  3 Sm 3.21-3.46, 2 Te 3.46, 6 F 3.57
F 0.0000 0.3007 0.5704 [8 per cell]  3 Sm 2.30-2.40, 3 F 2.46-2.53

- Formation energy (no corrections): -2931 meV/atom
- Fermi-level density of states: 3.6 states/eV/cell
- VASP energy: -23.33 eV/f.u.
- Total moment: 0.0 Bohr magnetons per cell



[5]
Sm4Te5F | PBE | optimized geometry

Cell lengths 19.5350, 4.1945, 7.7984 Å; angles 90.00, 98.05, 90.00 degrees
With the nearest neighbours (Å) after each atom.
Space group C2/m (No. 12)
Asymmetric unit:
Sm 0.0237 0.0000 0.2231 [4 per cell]  2 F 2.72
Sm 0.2231 0.5000 0.2254 [4 per cell]  6 Te 3.08-3.20
Te 0.0000 0.5000 0.5000 [2 per cell]  4 Sm 3.09
Te 0.1422 0.0000 0.9604 [4 per cell]  5 Sm 3.18-3.35, 2 F 3.53
Te 0.1644 0.0000 0.4541 [4 per cell]  4 Sm 3.07-3.09
F 0.0000 0.5000 0.0000 [2 per cell]  4 Sm 2.72

- Formation energy (no corrections): -1554 meV/atom
- Fermi-level density of states: 5.4 states/eV/cell
- VASP energy: -52.00 eV/f.u.
- Total moment: 0.0 Bohr magnetons per cell



[6]
SmTeF | PBE | optimized geometry

Cell lengths 4.2022, 4.2022, 4.4170 Å; angles 90.00, 90.00, 120.00 degrees
With the nearest neighbours (Å) after each atom.
Space group P-6m2 (No. 187)
Asymmetric unit:
Sm 0.0000 0.0000 0.0000 [1 per cell]  3 F 2.43
Te 0.3333 0.6667 0.5000 [1 per cell]  6 Sm 3.28, 6 F 3.28
F 0.6667 0.3333 0.0000 [1 per cell]  3 Sm 2.43

- Formation energy (no corrections): -2607 meV/atom
- E above lowest polymorph: 0.0000 eV per atom
- VASP energy: -17.55 eV/f.u.
- Total moment: 0.0 Bohr magnetons per cell



[7]
SmTeF | PBE | optimized geometry

Cell lengths 11.3921, 4.0370, 7.5322 Å; angles 90.00, 119.93, 90.00 degrees
With the nearest neighbours (Å) after each atom.
Space group C2/m (No. 12)
Asymmetric unit:
Sm 0.1746 0.0000 0.2389 [4 per cell]  3 F 2.38-2.39
Te 0.0763 0.5000 0.8430 [4 per cell]  5 Sm 3.19-3.30, 1 F 3.50, 1 Te 3.57
F 0.2214 0.0000 0.5863 [4 per cell]  3 Sm 2.38-2.39, 2 F 2.65

- Formation energy (no corrections): -2581 meV/atom
- E above lowest polymorph: 0.0263 eV per atom
- VASP energy: -17.48 eV/f.u.
- Total moment: 0.0 Bohr magnetons per cell



[8]
Sm2ThF | PBE | optimized geometry

Cell lengths 3.6767, 3.6767, 26.3197 Å; angles 90.00, 90.00, 120.00 degrees
With the nearest neighbours (Å) after each atom.
Space group R-3m (No. 166, hexagonal axes)
Asymmetric unit:
Sm 0.0000 0.0000 0.2285 [6 per cell]  3 F 2.67
Th 0.0000 0.0000 0.0000 [3 per cell]  6 Sm 3.48, 6 Th 3.68
F 0.0000 0.0000 0.5000 [3 per cell]  6 Sm 2.67

- Formation energy (no corrections): -1164 meV/atom
- Fermi-level density of states: 8.4 states/eV/cell
- VASP energy: -23.38 eV/f.u.
- Total moment: 0.0 Bohr magnetons per cell



[9]
SmTiF | PBE | optimized geometry

Cell lengths 8.7645, 3.5230, 8.7837 Å; angles 90.00, 103.73, 90.00 degrees
With the nearest neighbours (Å) after each atom.
Space group C2/m (No. 12)
Asymmetric unit:
Sm 0.1524 0.0000 0.2919 [4 per cell]  3 F 2.36-2.45
Ti 0.1254 0.5000 0.9724 [4 per cell]  1 Ti 2.36
F 0.1391 0.5000 0.4668 [4 per cell]  3 Sm 2.36-2.45, 3 F 2.59-2.64

- Formation energy (no corrections): -1433 meV/atom
- Fermi-level density of states: 10.8 states/eV/cell
- VASP energy: -18.78 eV/f.u.
- Total moment: 0.0 Bohr magnetons per cell



[10]
SmTlF4 | PBE | optimized geometry

Cell lengths 6.2600, 3.7320, 16.8278 Å; angles 90.00, 90.00, 90.00 degrees
With the nearest neighbours (Å) after each atom.
Space group Pnma (No. 62)
Asymmetric unit:
Sm 0.2468 0.2500 0.0551 [4 per cell]  9 F 2.29-2.48
Tl 0.2117 0.7500 0.3003 [4 per cell]  4 F 2.68-2.79
F 0.0050 0.7500 0.4466 [4 per cell]  3 Sm 2.40-2.47, 2 F 2.59
F 0.0899 0.7500 0.6770 [4 per cell]  1 Sm 2.29
F 0.1089 0.7500 0.1242 [4 per cell]  2 Sm 2.36, 1 F 2.64
F 0.1327 0.7500 0.9676 [4 per cell]  3 Sm 2.41-2.48, 1 F 2.64

- Formation energy (no corrections): -3344 meV/atom
- Fermi-level density of states: 0.0 states/eV/cell
- E above lowest polymorph: 0.0000 eV per atom
- VASP energy: -34.64 eV/f.u.
- Total moment: 0.0 Bohr magnetons per cell



[11]
SmTlF | PBE | optimized geometry

Cell lengths 12.4573, 3.9963, 7.1827 Å; angles 90.00, 123.68, 90.00 degrees
With the nearest neighbours (Å) after each atom.
Space group C2/m (No. 12)
Asymmetric unit:
Sm 0.1794 0.0000 0.1479 [4 per cell]  3 F 2.29-2.43
Tl 0.0526 0.5000 0.3496 [4 per cell]  1 Tl 3.09, 3 Sm 3.29-3.34
F 0.2405 0.0000 0.8807 [4 per cell]  3 Sm 2.29-2.43, 2 F 2.56

- Formation energy (no corrections): -1780 meV/atom
- Fermi-level density of states: 5.5 states/eV/cell
- E above lowest polymorph: 0.0000 eV per atom
- VASP energy: -14.30 eV/f.u.
- Total moment: 0.0 Bohr magnetons per cell



[12]
Sm2TlF | PBE | optimized geometry

Cell lengths 3.7971, 3.7971, 23.2830 Å; angles 90.00, 90.00, 120.00 degrees
With the nearest neighbours (Å) after each atom.
Space group R-3m (No. 166, hexagonal axes)
Asymmetric unit:
Sm 0.0000 0.0000 0.2280 [6 per cell]  3 F 2.62
Tl 0.0000 0.0000 0.0000 [3 per cell]  6 Sm 3.29
F 0.0000 0.0000 0.5000 [3 per cell]  6 Sm 2.62

- Formation energy (no corrections): -1300 meV/atom
- Fermi-level density of states: 7.3 states/eV/cell
- E above lowest polymorph: 0.0000 eV per atom
- VASP energy: -18.87 eV/f.u.
- Total moment: 0.0 Bohr magnetons per cell



[13]
SmTl2F5 | PBE | optimized geometry

Cell lengths 11.5382, 7.6049, 7.0527 Å; angles 90.00, 90.00, 90.00 degrees
With the nearest neighbours (Å) after each atom.
Space group Pnma (No. 62)
Asymmetric unit:
Sm 0.0023 0.2500 0.0605 [4 per cell]  7 F 2.27-2.37
Tl 0.1719 0.0012 0.5184 [8 per cell]  7 F 2.75-3.08
F 0.0198 0.2500 0.3814 [4 per cell]  1 Sm 2.27
F 0.0726 0.5335 0.1414 [8 per cell]  2 Sm 2.34-2.37
F 0.1632 0.2500 0.8750 [4 per cell]  1 Sm 2.27
F 0.1885 0.7500 0.8500 [4 per cell]  1 Sm 2.29

- Formation energy (no corrections): -2944 meV/atom
- Fermi-level density of states: 0.0 states/eV/cell
- VASP energy: -42.36 eV/f.u.
- Total moment: 0.0 Bohr magnetons per cell



[14]
Sm2TlF7 | PBE | optimized geometry

Cell lengths 7.2876, 11.6804, 4.5051 Å; angles 90.00, 90.00, 90.00 degrees
With the nearest neighbours (Å) after each atom.
Space group Cmmm (No. 65)
Asymmetric unit:
Sm 0.0000 0.1936 0.0000 [4 per cell]  7 F 2.26-2.34
Tl 0.0000 0.5000 0.5000 [2 per cell]  10 F 3.14-3.39
F 0.0000 0.0000 0.0000 [2 per cell]  2 Sm 2.26
F 0.0000 0.2100 0.5000 [4 per cell]  2 Sm 2.26
F 0.1894 0.3553 0.0000 [8 per cell]  2 Sm 2.33-2.34, 1 F 2.61

- Formation energy (no corrections): -3645 meV/atom
- Fermi-level density of states: 0.0 states/eV/cell
- VASP energy: -61.36 eV/f.u.
- Total moment: 0.0 Bohr magnetons per cell



[15]
SmTl2F8 | PBE | optimized geometry

Cell lengths 7.2108, 7.2108, 4.5107 Å; angles 90.00, 90.00, 120.00 degrees
With the nearest neighbours (Å) after each atom.
Space group P-3 (No. 147)
Asymmetric unit:
Sm 0.0000 0.0000 0.0000 [1 per cell]  6 F 2.26
Tl 0.3333 0.6667 0.7281 [2 per cell]  5 F 2.23-2.27
F 0.1534 0.3099 0.7420 [6 per cell]  1 Tl 2.23, 1 Sm 2.26
F 0.3333 0.6667 0.2307 [2 per cell]  2 Tl 2.24-2.27

- Formation energy (no corrections): -2505 meV/atom
- Fermi-level density of states: 3.0 states/eV/cell
- VASP energy: -51.97 eV/f.u.
- Total moment: 0.0 Bohr magnetons per cell



[16]
SmTlF4 | PBE | optimized geometry

Cell lengths 3.9866, 3.9866, 6.6864 Å; angles 90.00, 90.00, 90.00 degrees
With the nearest neighbours (Å) after each atom.
Space group P4/mmm (No. 123)
Asymmetric unit:
Sm 0.0000 0.0000 0.0000 [1 per cell]  8 F 2.38
Tl 0.5000 0.5000 0.5000 [1 per cell]  8 F 2.86
F 0.0000 0.5000 0.1935 [4 per cell]  2 Sm 2.38, 1 F 2.59

- Formation energy (no corrections): -3326 meV/atom
- Fermi-level density of states: 0.0 states/eV/cell
- E above lowest polymorph: 0.0185 eV per atom
- VASP energy: -34.53 eV/f.u.
- Total moment: 0.0 Bohr magnetons per cell



[17]
SmTlF | PBE | optimized geometry

Cell lengths 3.4012, 3.4012, 12.1678 Å; angles 90.00, 90.00, 90.00 degrees
With the nearest neighbours (Å) after each atom.
Space group I4mm (No. 107)
Asymmetric unit:
Sm 0.0000 0.0000 0.0000 [2 per cell]  4 F 2.46
Tl 0.0000 0.0000 0.2788 [2 per cell]  1 F 3.21, 1 Sm 3.39, 4 Tl 3.40
F 0.0000 0.0000 0.5425 [2 per cell]  4 Sm 2.46

- Formation energy (no corrections): -1550 meV/atom
- Fermi-level density of states: 6.3 states/eV/cell
- E above lowest polymorph: 0.2297 eV per atom
- VASP energy: -13.61 eV/f.u.
- Total moment: 0.0 Bohr magnetons per cell



[18]
Sm2TlF | PBE | optimized geometry

Cell lengths 3.3994, 3.3994, 8.0549 Å; angles 90.00, 90.00, 90.00 degrees
With the nearest neighbours (Å) after each atom.
Space group P4/mmm (No. 123)
Asymmetric unit:
Sm 0.0000 0.0000 0.2277 [2 per cell]  4 F 3.02, 4 Tl 3.25
Tl 0.5000 0.5000 0.5000 [1 per cell]  8 Sm 3.25, 4 Tl 3.40
F 0.5000 0.5000 0.0000 [1 per cell]  8 Sm 3.02

- Formation energy (no corrections): -1046 meV/atom
- Fermi-level density of states: 4.0 states/eV/cell
- E above lowest polymorph: 0.2537 eV per atom
- VASP energy: -17.86 eV/f.u.
- Total moment: 0.0 Bohr magnetons per cell



[19]
SmTl2F11 | PBE | optimized geometry

Cell lengths 8.3588, 10.4034, 11.2029 Å; angles 90.00, 90.00, 90.00 degrees
With the nearest neighbours (Å) after each atom.
Space group Ibam (No. 72)
Asymmetric unit:
Sm 0.0000 0.0000 0.2500 [4 per cell]  8 F 2.33
Tl 0.1671 0.3080 0.0000 [8 per cell]  6 F 2.17-2.29
F 0.0000 0.5000 0.0000 [4 per cell]  2 F 2.14
F 0.1035 0.3115 0.5000 [8 per cell]  1 F 2.14, 2 Tl 2.26-2.29
F 0.1038 0.1735 0.1430 [16 per cell]  1 Tl 2.19, 1 Sm 2.33
F 0.2110 0.0742 0.3679 [16 per cell]  1 Tl 2.17, 1 Sm 2.33

- Formation energy (no corrections): -2104 meV/atom
- Fermi-level density of states: 60.0 states/eV/cell
- VASP energy: -59.49 eV/f.u.
- Total moment: 8.8 Bohr magnetons per cell



[20]
Sm3TlF | PBE | optimized geometry

Cell lengths 4.9908, 4.9908, 4.9908 Å; angles 90.00, 90.00, 90.00 degrees
With the nearest neighbours (Å) after each atom.
Space group Pm-3m (No. 221)
Asymmetric unit:
Sm 0.0000 0.0000 0.5000 [3 per cell]  2 F 2.50
Tl 0.5000 0.5000 0.5000 [1 per cell]  12 Sm 3.53
F 0.0000 0.0000 0.0000 [1 per cell]  6 Sm 2.50

- Formation energy (no corrections): -1045 meV/atom
- Fermi-level density of states: 4.5 states/eV/cell
- VASP energy: -23.62 eV/f.u.
- Total moment: 0.0 Bohr magnetons per cell